The following is a DFT calculation (GGA-PBE) of an optimized crystal structure of MgZr2Si.

Computed properties:
* calculated total energy: -25.2 eV/cell
* space-group type: P4/mmm
* DOS(E_F): 2.93 states/eV/f.u.
* uncorrected formation energy: -0.28 eV per atom

Cell and atoms, written as extended XYZ:
```
4
Lattice="4.2971 0.0000 0.0000 0.0000 4.2959 0.0000 0.0000 0.0000 4.1928" Properties=species:S:1:pos:R:3 pbc="T T T"
Mg 2.1486 0.0000 2.0964
Si 0.0000 2.1480 2.0964
Zr 0.0000 0.0000 0.0000
Zr 2.1486 2.1480 0.0000
```

The following is a DFT calculation (GGA-PBE) of an optimized crystal structure of Mg2ScSe.

Computed properties:
* calculated total energy: -15.2 eV/cell
* space-group type: Cm
* DOS(E_F): 2.13 states/eV/f.u.
* uncorrected formation energy: -0.55 eV per atom

Cell and atoms, written as extended XYZ:
```
4
Lattice="-5.2212 -0.1774 -0.9129 -4.1741 -3.2285 0.5286 -3.0918 1.0749 4.5212" Properties=species:S:1:pos:R:3 pbc="T T T"
Mg -12.0503 -2.2288 4.0359
Mg -9.3010 -1.7069 3.1435
Sc -6.2892 -1.4166 1.5701
Se -3.5770 -0.4751 1.5928
```

The following is a DFT calculation (GGA-PBE) of an optimized crystal structure of HfNiPH.

Computed properties:
* calculated total energy: -55.0 eV/cell
* space-group type: P4/nmm
* DOS(E_F): 1.10 states/eV/f.u.

Cell and atoms, written as extended XYZ:
```
8
Lattice="-3.5091 0.6991 -0.9101 -0.4127 -3.5008 -1.0978 -1.8886 -1.6608 6.0064" Properties=species:S:1:pos:R:3 pbc="T T T"
Hf -2.9918 -0.7384 3.4796
Hf -0.8578 -2.3233 1.5228
Ni -1.9609 -1.4008 -1.0039
Ni 0.0000 0.0000 0.0000
P -1.7098 -3.0725 4.2324
P -2.1398 0.0108 0.7700
H -0.9443 -0.8304 3.0032
H -2.9053 -2.2312 1.9992
```

The following is a DFT calculation (GGA-PBE) of an optimized crystal structure of Sr8Ga2Sn.

Computed properties:
* formation enthalpy at 0 K: -0.290 eV per atom
* calculated total energy: -26.7 eV/cell
* space-group type: C2/m
* DOS(E_F): 8.52 states/eV/f.u.
* energy above the most stable polymorph in this dataset: 0.0 meV per atom

Cell and atoms, written as extended XYZ:
```
11
Lattice="-3.1505 -2.8981 -3.7286 6.3839 -0.5648 -4.9551 1.3893 -6.3734 8.1015" Properties=species:S:1:pos:R:3 pbc="T T T"
Sr 3.3297 -6.5995 2.3161
Sr 4.5017 -4.6865 -4.4827
Sr 2.7173 -6.5391 -1.5350
Sr -0.3714 -8.8891 2.9014
Sr 1.9053 -3.2972 0.9529
Sr 0.1209 -5.1498 3.9006
Sr 1.2930 -3.2368 -2.8983
Sr 4.9941 -0.9472 -3.4835
Ga 0.2582 -6.5949 0.5862
Ga 4.3644 -3.2414 -1.1683
Sn -1.5752 -1.4490 -1.8643
```

The following is a DFT calculation (GGA-PBE) of an optimized crystal structure of BaGdMg2.

Computed properties:
* formation enthalpy at 0 K: -0.048 eV per atom
* calculated total energy: -19.4 eV/cell
* space-group type: P4/mmm
* DOS(E_F): 4.36 states/eV/f.u.
* energy above the most stable polymorph in this dataset: 0.0 meV per atom

Cell and atoms, written as extended XYZ:
```
4
Lattice="-0.1469 -2.3678 3.2262 1.1853 -3.1092 -2.2280 8.0632 1.8419 1.7190" Properties=species:S:1:pos:R:3 pbc="T T T"
Mg 6.3959 1.4611 1.3635
Mg 1.6673 0.3809 0.3555
Gd 0.5192 -2.7385 0.4991
Ba 4.5508 -1.8175 1.3586
```

The following is a DFT calculation (GGA-PBE) of an optimized crystal structure of LaNd2Ho12.

Computed properties:
* formation enthalpy at 0 K: 0.309 eV per atom
* calculated total energy: -129.5 eV/cell
* space-group type: P4/nbm
* DOS(E_F): 24.16 states/eV/f.u.

Cell and atoms, written as extended XYZ:
```
30
Lattice="-0.3438 4.9375 -4.0764 -6.1939 -1.2908 -1.0411 -6.3618 15.2226 18.9750" Properties=species:S:1:pos:R:3 pbc="T T T"
La -0.1719 2.4688 -2.0382
La -3.0969 -0.6454 -0.5206
Nd -1.9194 6.6503 3.1741
Nd -4.8445 3.5362 4.6917
Nd -7.7112 10.3957 13.2421
Nd -4.7861 13.5098 11.7245
Ho -8.2463 13.7336 12.2873
Ho -4.9775 11.9102 14.8461
Ho -10.8928 15.7267 13.0714
Ho -9.9001 13.4290 15.2476
Ho -2.1755 5.2056 6.4887
Ho -5.9244 2.3262 0.1275
Ho -5.8997 12.1996 6.8897
Ho -5.4443 7.0290 3.9300
Ho -6.8487 14.7287 15.2280
Ho -5.2756 4.9660 -1.7727
Ho -4.7205 9.9408 9.0973
Ho -4.0747 9.7839 5.4501
Ho -4.1863 10.0170 12.4862
Ho -4.9102 7.1052 7.3190
Ho -2.7819 2.3174 1.1882
Ho -7.2276 9.9415 4.2666
Ho -8.9407 10.7513 7.0321
Ho -1.3843 3.3124 4.1289
Ho -7.7615 8.4924 9.2396
Ho -7.4551 11.8404 9.9275
Ho -7.8414 17.0264 13.0518
Ho -4.6531 5.1358 1.5702
Ho -8.0630 7.2628 6.1355
Ho -2.1331 4.9572 -0.7120
```

The following is a DFT calculation (GGA-PBE) of an optimized crystal structure of Au3Br.

Computed properties:
* calculated total energy: -20.5 eV/cell
* space-group type: P6_3/mmc
* DOS(E_F): 0.84 states/eV/f.u.
* uncorrected formation energy: 0.32 eV per atom
* energy above the most stable polymorph in this dataset: 205.1 meV per atom

Cell and atoms, written as extended XYZ:
```
8
Lattice="-6.0652 2.8275 -0.1769 1.4755 -5.0205 -4.1749 -1.4690 -2.9609 3.0415" Properties=species:S:1:pos:R:3 pbc="T T T"
Au -0.8276 -1.8066 -0.5001
Au -3.3819 -3.0271 -2.9220
Au -0.0064 -4.6007 -2.8235
Au -5.2311 -3.3474 -0.8103
Au -2.6768 -2.1269 1.6117
Au -6.0523 -0.5533 1.5132
Br -2.1398 -4.6252 -0.5611
Br -3.9189 -0.5287 -0.7492
```

The following is a DFT calculation (GGA-PBE) of an optimized crystal structure of PPb5.

Computed properties:
* formation enthalpy at 0 K: 0.107 eV per atom
* calculated total energy: -23.3 eV/cell
* space-group type: Cm
* DOS(E_F): 2.47 states/eV/f.u.
* energy above the most stable polymorph in this dataset: 0.0 meV per atom

Cell and atoms, written as extended XYZ:
```
6
Lattice="1.9361 6.8826 -1.0465 -1.9361 6.8826 -1.0465 0.0000 1.0909 6.6827" Properties=species:S:1:pos:R:3 pbc="T T T"
P 0.0000 13.1555 -1.2608
Pb 0.0000 5.1833 1.8592
Pb 0.0000 9.8629 2.6251
Pb 0.0000 8.3566 -0.3799
Pb 0.0000 14.2344 2.5861
Pb 0.0000 5.0647 5.4813
```

The following is a DFT calculation (GGA-PBE) of an optimized crystal structure of ThZrTi2.

Computed properties:
* formation enthalpy at 0 K: 0.127 eV per atom
* calculated total energy: -31.2 eV/cell
* space-group type: P4/mmm
* DOS(E_F): 7.10 states/eV/f.u.
* energy above the most stable polymorph in this dataset: 9.2 meV per atom

Cell and atoms, written as extended XYZ:
```
4
Lattice="-0.5424 1.6941 -3.1976 1.3356 -2.9114 -1.7689 -6.1958 -2.6332 -0.3441" Properties=species:S:1:pos:R:3 pbc="T T T"
Zr 0.3966 -0.6087 -2.4833
Th -2.7013 -1.9253 -2.6554
Ti -4.9145 -2.0887 -0.2730
Ti -1.2813 -0.5445 -0.0712
```

The following is a DFT calculation (GGA-PBE) of an optimized crystal structure of Na3HfCl.

Computed properties:
* calculated total energy: -14.2 eV/cell
* space-group type: Pm-3m
* DOS(E_F): 4.61 states/eV/f.u.
* uncorrected formation energy: 0.32 eV per atom
* energy above the most stable polymorph in this dataset: 0.0 meV per atom

Cell and atoms, written as extended XYZ:
```
5
Lattice="5.3183 0.0000 0.0000 0.0000 5.3183 0.0000 0.0000 0.0000 5.3183" Properties=species:S:1:pos:R:3 pbc="T T T"
Na 0.0000 2.6591 0.0000
Na 0.0000 0.0000 2.6591
Na 2.6591 0.0000 0.0000
Hf 2.6591 2.6591 2.6591
Cl 0.0000 0.0000 0.0000
```

The following is a DFT calculation (GGA-PBE) of an optimized crystal structure of TlCo2As.

Computed properties:
* formation enthalpy at 0 K: 0.181 eV per atom
* calculated total energy: -20.5 eV/cell
* space-group type: R-3m
* DOS(E_F): 3.27 states/eV/f.u.
* energy above the most stable polymorph in this dataset: 21.6 meV per atom

Cell and atoms, written as extended XYZ:
```
4
Lattice="-2.7491 -3.1312 -3.9961 0.2511 -5.0577 -2.7725 -2.8930 -4.9474 -0.6959" Properties=species:S:1:pos:R:3 pbc="T T T"
As -4.0433 -9.8522 -5.5984
Co -0.1877 -0.4573 -0.2598
Co -2.5079 -6.1109 -3.4724
Tl -1.3478 -3.2841 -1.8661
```

The following is a DFT calculation (GGA-PBE) of an optimized crystal structure of MgZn2Hg.

Computed properties:
* formation enthalpy at 0 K: -0.012 eV per atom
* calculated total energy: -4.5 eV/cell
* space-group type: Immm
* DOS(E_F): 1.27 states/eV/f.u.
* energy above the most stable polymorph in this dataset: 20.6 meV per atom

Cell and atoms, written as extended XYZ:
```
4
Lattice="5.1865 -0.0581 0.0030 1.8647 4.8400 -0.0030 -3.5214 -2.3971 2.9592" Properties=species:S:1:pos:R:3 pbc="T T T"
Mg 2.5953 -0.0321 1.4811
Zn 0.0015 0.0010 0.0000
Zn 3.5241 2.3899 0.0000
Hg 0.9344 2.4169 1.4781
```